Mn2MoPb | SCAN | PBEsol geometry

Properties
M_tot: 1.033 μB per atom
energy of formation: 370 meV/atom

a b c (Å): 2.964 2.964 7.329
angles (deg): 90.00 90.00 90.00
Space group P4mm (No. 99)
Unique sites:
Mn: 0.000 0.000 0.000 (multiplicity 1)
Mn: 0.500 0.500 0.208 (multiplicity 1)
Mo: 0.000 0.000 0.388 (multiplicity 1)
Pb: 0.500 0.500 0.700 (multiplicity 1)